# 1
{"formula": "TeHW3", "functional": "PBE", "state": "relaxed", "lattice_angstrom": [[-0.8938, 3.6163, -1.8271], [-2.8271, 0.7837, 2.9341], [2.9024, 1.8770, 2.2952]], "species": ["W", "W", "H", "W", "Te"], "frac_coords": [[0.0000, 0.5000, 0.0000], [0.5000, 0.0000, 0.0000], [0.0000, 0.0000, 0.0000], [0.0000, 0.0000, 0.5000], [0.5000, 0.5000, 0.5000]], "e_tot_ev_per_atom": -8.20, "dos_at_fermi_per_ev_fu": 4.8, "e_above_lowest_polymorph_ev_per_atom": 0.0000, "vol_a3_per_atom": 14.29}

***

# 2
{"formula": "TeH3W", "functional": "PBE", "state": "relaxed", "lattice_angstrom": [[3.7324, 0.0000, 0.0000], [0.0000, 3.7324, 0.0000], [0.0000, 0.0000, 3.7324]], "species": ["Te", "H", "H", "W", "H"], "frac_coords": [[0.5000, 0.5000, 0.5000], [0.0000, 0.0000, 0.5000], [0.0000, 0.5000, 0.0000], [0.0000, 0.0000, 0.0000], [0.5000, 0.0000, 0.0000]], "e_tot_ev_per_atom": -4.56, "dos_at_fermi_per_ev_fu": 2.0, "e_above_lowest_polymorph_ev_per_atom": 0.0000, "vol_a3_per_atom": 10.40}